LuZr: relaxed, PBE.

Unit cell a=6.0151 b=6.0151 c=6.0151 alpha=90.00 beta=90.00 gamma=90.00
Closest atoms and distances in Å follow each position.
Space group Fm-3m (No. 225)
Symmetry-distinct sites (fractional):
Lu: 0.0000 0.0000 0.0000 (multiplicity 4)  6 Zr 3.01
Zr: 0.0000 0.0000 0.5000 (multiplicity 4)  6 Lu 3.01

The value obtained for the formation energy is 0.9878 eV/atom.